! K2Eu2O3, optimized geometry, DFT GGA-PBEsol; values from VASP
&SYSTEM
  ibrav = 0, nat = 14, ntyp = 3
/
ATOMIC_SPECIES
K 39.10 K.upf
Eu 151.96 Eu.upf
O 16.00 O.upf
CELL_PARAMETERS angstrom
6.8483 0.0000 0.0000
0.0000 6.8944 0.0000
-3.4890 0.0000 6.2210
ATOMIC_POSITIONS crystal
K 0.1229 0.1465 0.4055
K 0.1229 0.3535 0.9055
K 0.8771 0.6465 0.0945
K 0.8771 0.8535 0.5945
Eu 0.3469 0.6188 0.5958
Eu 0.3469 0.8812 0.0958
Eu 0.6531 0.1188 0.9042
Eu 0.6531 0.3812 0.4042
O 0.0000 0.0000 0.0000
O 0.0000 0.5000 0.5000
O 0.3500 0.5960 0.2690
O 0.3500 0.9040 0.7690
O 0.6500 0.0960 0.2310
O 0.6500 0.4040 0.7310
! Space-group type ... P2_1/c
! E_tot ... -107.43 eV for the cell shown
! Volume ... 21.0 Å³/atom
! Formation energy (no corrections) ... -2.0821 eV/atom

=====

! KEuP4O12, optimized geometry, DFT GGA-PBEsol; values from VASP
&SYSTEM
  ibrav = 0, nat = 72, ntyp = 4
/
ATOMIC_SPECIES
K 39.10 K.upf
Eu 151.96 Eu.upf
P 30.97 P.upf
O 16.00 O.upf
CELL_PARAMETERS angstrom
10.4579 0.0000 0.0000
0.0000 9.0514 0.0000
-7.4596 0.0000 10.4077
ATOMIC_POSITIONS crystal
K 0.2420 0.0694 0.4567
K 0.2420 0.4306 0.9567
K 0.7580 0.5694 0.0433
K 0.7580 0.9306 0.5433
Eu 0.1858 0.7273 0.6866
Eu 0.1858 0.7727 0.1866
Eu 0.8142 0.2273 0.8134
Eu 0.8142 0.2727 0.3134
P 0.1144 0.0958 0.7601
P 0.1144 0.4042 0.2601
P 0.1819 0.1695 0.1422
P 0.1819 0.3305 0.6422
P 0.3032 0.6030 0.4814
P 0.3032 0.8970 0.9814
P 0.4816 0.0234 0.2325
P 0.4816 0.4766 0.7325
P 0.5184 0.5234 0.2675
P 0.5184 0.9766 0.7675
P 0.6968 0.1030 0.0186
P 0.6968 0.3970 0.5186
P 0.8181 0.6695 0.3578
P 0.8181 0.8305 0.8578
P 0.8856 0.5958 0.7399
P 0.8856 0.9042 0.2399
O 0.0191 0.6810 0.7570
O 0.0191 0.8190 0.2570
O 0.0752 0.5361 0.1756
O 0.0752 0.9639 0.6756
O 0.0770 0.2370 0.0117
O 0.0770 0.2630 0.5117
O 0.1389 0.0309 0.1790
O 0.1389 0.4691 0.6790
O 0.1989 0.6560 0.5180
O 0.1989 0.8440 0.0180
O 0.2268 0.2085 0.7507
O 0.2268 0.2915 0.2507
O 0.2377 0.0533 0.9080
O 0.2377 0.4467 0.4080
O 0.3385 0.7049 0.4091
O 0.3385 0.7951 0.9091
O 0.3526 0.1543 0.1695
O 0.3526 0.3457 0.6695
O 0.3581 0.5908 0.1842
O 0.3581 0.9092 0.6842
O 0.4389 0.5888 0.7938
O 0.4389 0.9112 0.2938
O 0.4655 0.5448 0.6086
O 0.4655 0.9552 0.1086
O 0.5345 0.0448 0.8914
O 0.5345 0.4552 0.3914
O 0.5611 0.0888 0.7062
O 0.5611 0.4112 0.2062
O 0.6419 0.0908 0.3158
O 0.6419 0.4092 0.8158
O 0.6474 0.6543 0.3305
O 0.6474 0.8457 0.8305
O 0.6615 0.2049 0.0909
O 0.6615 0.2951 0.5909
O 0.7623 0.5533 0.5920
O 0.7623 0.9467 0.0920
O 0.7732 0.7085 0.7493
O 0.7732 0.7915 0.2493
O 0.8011 0.1560 0.9820
O 0.8011 0.3440 0.4820
O 0.8611 0.5309 0.3210
O 0.8611 0.9691 0.8210
O 0.9230 0.7370 0.4883
O 0.9230 0.7630 0.9883
O 0.9248 0.0361 0.3244
O 0.9248 0.4639 0.8244
O 0.9809 0.1810 0.7430
O 0.9809 0.3190 0.2430
! Space-group type ... P2_1/c
! E_tot ... -561.44 eV for the cell shown
! Volume ... 13.7 Å³/atom
! Formation energy (no corrections) ... -2.3615 eV/atom